# La6PmNi3, relaxed, DFT PBE-GGA
data_La6PmNi3
_chemical_formula_sum 'La24 Pm4 Ni12'
_space_group_name_H-M_alt 'C m c 21'
_space_group_IT_number 36
_space_group_name_Hall 'C 2c -2'
_cell_length_a 11.482
_cell_length_b 13.568
_cell_length_c 7.369
_cell_angle_alpha 90.00
_cell_angle_beta 90.00
_cell_angle_gamma 90.00
loop_
_atom_site_label
_atom_site_type_symbol
_atom_site_fract_x
_atom_site_fract_y
_atom_site_fract_z
La1 La 0.000 0.035 0.000
La2 La 0.000 0.225 0.342
La3 La 0.166 0.457 0.524
La4 La 0.222 0.191 0.661
Pm1 Pm 0.000 0.328 0.889
Ni1 Ni 0.000 0.421 0.220
Ni2 Ni 0.194 0.095 0.315
# ΔH_f (0 K)	-0.171	eV/atom
# mass density	6.68	g cm⁻³
# magnetic moment	0.00	μB per formula unit
# volume	28.703	Å³/atom

***

# TcMoRh6, relaxed, DFT PBE-GGA
data_TcMoRh6
_chemical_formula_sum 'Tc1 Mo1 Rh6'
_space_group_name_H-M_alt 'P 4/m m m'
_space_group_IT_number 123
_space_group_name_Hall '-P 4 2'
_cell_length_a 5.443
_cell_length_b 5.443
_cell_length_c 3.872
_cell_angle_alpha 90.00
_cell_angle_beta 90.00
_cell_angle_gamma 90.00
loop_
_atom_site_label
_atom_site_type_symbol
_atom_site_fract_x
_atom_site_fract_y
_atom_site_fract_z
Tc1 Tc 0.000 0.000 0.000
Mo1 Mo 0.500 0.500 0.000
Rh1 Rh 0.000 0.500 0.000
Rh2 Rh 0.249 0.249 0.500
# ΔH_f (0 K)	-0.106	eV/atom
# mass density	11.75	g cm⁻³
# magnetic moment	1.03	μB per formula unit
# volume	14.339	Å³/atom

***

# ZnPt2Cl, relaxed, DFT PBE-GGA
data_ZnPt2Cl
_chemical_formula_sum 'Zn2 Pt4 Cl2'
_space_group_name_H-M_alt 'C m m m'
_space_group_IT_number 65
_space_group_name_Hall '-C 2 2'
_cell_length_a 2.916
_cell_length_b 5.061
_cell_length_c 8.773
_cell_angle_alpha 90.00
_cell_angle_beta 90.00
_cell_angle_gamma 90.00
loop_
_atom_site_label
_atom_site_type_symbol
_atom_site_fract_x
_atom_site_fract_y
_atom_site_fract_z
Zn1 Zn 0.000 0.000 0.000
Pt1 Pt 0.000 0.500 0.237
Cl1 Cl 0.000 0.000 0.500
# uncorrected energy	-15.00	eV per formula unit
# mass density	12.59	g cm⁻³
# magnetic moment	0.00	μB per formula unit
# volume	16.185	Å³/atom

***

# CeGe2PIr2, relaxed, DFT PBE-GGA
data_CeGe2PIr2
_chemical_formula_sum 'Ce1 Ge2 P1 Ir2'
_space_group_name_H-M_alt 'P 4/m m m'
_space_group_IT_number 123
_space_group_name_Hall '-P 4 2'
_cell_length_a 4.588
_cell_length_b 4.588
_cell_length_c 5.413
_cell_angle_alpha 90.00
_cell_angle_beta 90.00
_cell_angle_gamma 90.00
loop_
_atom_site_label
_atom_site_type_symbol
_atom_site_fract_x
_atom_site_fract_y
_atom_site_fract_z
Ce1 Ce 0.000 0.000 0.000
Ge1 Ge 0.500 0.500 0.234
P1 P 0.000 0.000 0.500
Ir1 Ir 0.000 0.500 0.500
# ΔH_f (0 K)	-0.346	eV/atom
# mass density	10.21	g cm⁻³
# magnetic moment	0.66	μB per formula unit
# volume	18.989	Å³/atom

***

# ScTe2Rh, relaxed, DFT PBE-GGA
data_ScTe2Rh
_chemical_formula_sum 'Sc3 Te6 Rh3'
_space_group_name_H-M_alt 'R 3 m'
_space_group_IT_number 160
_space_group_name_Hall 'R 3 -2"'
_cell_length_a 4.1625
_cell_length_b 4.1625
_cell_length_c 21.4787
_cell_angle_alpha 90.00
_cell_angle_beta 90.00
_cell_angle_gamma 120.00
loop_
_atom_site_label
_atom_site_type_symbol
_atom_site_fract_x
_atom_site_fract_y
_atom_site_fract_z
Sc1 Sc 0.0000 0.0000 0.0000
Te1 Te 0.0000 0.0000 0.5530
Te2 Te 0.0000 0.0000 0.7422
Rh1 Rh 0.0000 0.0000 0.2609
# uncorrected energy	-22.29	eV per formula unit
# mass density	6.23	g cm⁻³
# magnetic moment	0.00	μB per formula unit
# volume	26.858	Å³/atom

***

# GdTmSiNi, relaxed, DFT PBE-GGA
data_GdTmSiNi
_chemical_formula_sum 'Gd4 Tm4 Si4 Ni4'
_space_group_name_H-M_alt 'F -4 3 m'
_space_group_IT_number 216
_space_group_name_Hall 'F -4 2 3'
_cell_length_a 6.890
_cell_length_b 6.890
_cell_length_c 6.890
_cell_angle_alpha 90.00
_cell_angle_beta 90.00
_cell_angle_gamma 90.00
loop_
_atom_site_label
_atom_site_type_symbol
_atom_site_fract_x
_atom_site_fract_y
_atom_site_fract_z
Gd1 Gd 0.000 0.000 0.000
Tm1 Tm 0.000 0.000 0.500
Si1 Si 0.250 0.250 0.250
Ni1 Ni 0.250 0.250 0.750
# uncorrected energy	-31.67	eV per formula unit
# mass density	8.39	g cm⁻³
# magnetic moment	7.03	μB per formula unit
# volume	20.441	Å³/atom